1.
Material: KSr2Pd2
Method: DFT, SCAN
State: PBEsol geometry

Properties
Magnetization ... 0.0 μB per cell
Energy of formation from the pure elements ... -15 kJ per mole of atoms

Unit cell a=5.4981 b=5.4981 c=11.9221 alpha=90.00 beta=90.00 gamma=90.00
With the nearest neighbours (Å) after each atom.
Space group I4/mmm (No. 139)
One atom of each set of equivalent atoms:
K 0.0000 0.0000 0.0000 (multiplicity 2)  2 Sr 3.92, 8 Pd 4.05
Sr 0.0000 0.0000 0.3287 (multiplicity 4)  4 Pd 2.90
Pd 0.0000 0.5000 0.2500 (multiplicity 4)  4 Sr 2.90

***

2.
Material: KSr2Pd
Method: DFT, SCAN
State: PBEsol geometry

Properties
Magnetization ... 0.0 μB per cell
Energy of formation from the pure elements ... 0 kJ per mole of atoms

Unit cell a=8.0485 b=8.0485 c=8.0485 alpha=90.00 beta=90.00 gamma=90.00
With the nearest neighbours (Å) after each atom.
Space group Fm-3m (No. 225)
One atom of each set of equivalent atoms:
K 0.0000 0.0000 0.0000 (multiplicity 4)  8 Sr 3.49
Sr 0.2500 0.2500 0.2500 (multiplicity 8)  4 K 3.49, 4 Pd 3.49
Pd 0.0000 0.0000 0.5000 (multiplicity 4)  8 Sr 3.49

***

3.
Material: KSr3Pd
Method: DFT, SCAN
State: PBEsol geometry

Properties
Magnetization ... 0.0 μB per cell
Energy of formation from the pure elements ... -27 kJ per mole of atoms

Unit cell a=6.0567 b=6.0567 c=6.0567 alpha=90.00 beta=90.00 gamma=90.00
With the nearest neighbours (Å) after each atom.
Space group Pm-3m (No. 221)
One atom of each set of equivalent atoms:
K 0.0000 0.0000 0.0000 (multiplicity 1)  12 Sr 4.28
Sr 0.0000 0.5000 0.5000 (multiplicity 3)  2 Pd 3.03
Pd 0.5000 0.5000 0.5000 (multiplicity 1)  6 Sr 3.03

***

4.
Material: K2TaPd
Method: DFT, SCAN
State: PBEsol geometry

Properties
Magnetization ... 16.3 μB per cell
Energy of formation from the pure elements ... 160 kJ per mole of atoms

Unit cell a=7.6434 b=7.6434 c=7.6434 alpha=90.00 beta=90.00 gamma=90.00
With the nearest neighbours (Å) after each atom.
Space group Fm-3m (No. 225)
One atom of each set of equivalent atoms:
K 0.2500 0.2500 0.2500 (multiplicity 8)  4 Ta 3.31, 4 Pd 3.31
Ta 0.0000 0.0000 0.0000 (multiplicity 4)  8 K 3.31
Pd 0.0000 0.0000 0.5000 (multiplicity 4)  8 K 3.31

***

5.
Material: KTe2Pd2
Method: DFT, SCAN
State: PBEsol geometry

Properties
Magnetization ... 0.0 μB per cell
Formation energy without anion corrections ... -0.60 eV/atom

Unit cell a=4.4593 b=4.4593 c=12.4667 alpha=90.00 beta=90.00 gamma=90.00
With the nearest neighbours (Å) after each atom.
Space group I4/mmm (No. 139)
One atom of each set of equivalent atoms:
K 0.0000 0.0000 0.0000 (multiplicity 2)  8 Te 3.57, 8 Pd 3.83
Te 0.0000 0.0000 0.3661 (multiplicity 4)  4 Pd 2.66
Pd 0.0000 0.5000 0.2500 (multiplicity 4)  4 Te 2.66

***

6.
Material: KTl2Pd2
Method: DFT, SCAN
State: PBEsol geometry

Properties
Magnetization ... 0.0 μB per cell
Energy of formation from the pure elements ... -13 kJ per mole of atoms
Relative energy among the computed polymorphs ... 56 meV per atom

Unit cell a=8.4441 b=8.4441 c=2.9935 alpha=90.00 beta=90.00 gamma=90.00
With the nearest neighbours (Å) after each atom.
Space group P4/mbm (No. 127)
One atom of each set of equivalent atoms:
K 0.0000 0.0000 0.0000 (multiplicity 2)  2 K 2.99, 4 Tl 3.31
Tl 0.1310 0.3690 0.0000 (multiplicity 4)  6 Pd 2.85-2.94, 3 Tl 2.99-3.13
Pd 0.1661 0.6661 0.5000 (multiplicity 4)  6 Tl 2.85-2.94, 2 Pd 2.99

***

7.
Material: K2TlPd
Method: DFT, SCAN
State: PBEsol geometry

Properties
Magnetization ... 0.0 μB per cell
Energy of formation from the pure elements ... 15 kJ per mole of atoms

Unit cell a=7.8309 b=7.8309 c=7.8309 alpha=90.00 beta=90.00 gamma=90.00
With the nearest neighbours (Å) after each atom.
Space group Fm-3m (No. 225)
One atom of each set of equivalent atoms:
K 0.2500 0.2500 0.2500 (multiplicity 8)  4 Tl 3.39, 4 Pd 3.39
Tl 0.0000 0.0000 0.0000 (multiplicity 4)  8 K 3.39
Pd 0.0000 0.0000 0.5000 (multiplicity 4)  8 K 3.39

***

8.
Material: KTl3Pd
Method: DFT, SCAN
State: PBEsol geometry

Properties
Magnetization ... 0.0 μB per cell
Energy of formation from the pure elements ... -11 kJ per mole of atoms

Unit cell a=5.3283 b=5.3283 c=5.3283 alpha=90.00 beta=90.00 gamma=90.00
With the nearest neighbours (Å) after each atom.
Space group Pm-3m (No. 221)
One atom of each set of equivalent atoms:
K 0.0000 0.0000 0.0000 (multiplicity 1)  12 Tl 3.77
Tl 0.0000 0.5000 0.5000 (multiplicity 3)  2 Pd 2.66
Pd 0.5000 0.5000 0.5000 (multiplicity 1)  6 Tl 2.66

***

9.
Material: K2TlPd2
Method: DFT, SCAN
State: PBEsol geometry

Properties
Magnetization ... 0.0 μB per cell
Energy of formation from the pure elements ... -10 kJ per mole of atoms

Unit cell a=6.9135 b=6.9135 c=5.3444 alpha=90.00 beta=90.00 gamma=90.00
With the nearest neighbours (Å) after each atom.
Space group P4/mbm (No. 127)
One atom of each set of equivalent atoms:
K 0.1737 0.3263 0.0000 (multiplicity 4)  6 Pd 3.27-3.43, 5 K 3.40-3.61
Tl 0.0000 0.0000 0.5000 (multiplicity 2)  4 Pd 2.69
Pd 0.1341 0.6341 0.5000 (multiplicity 4)  1 Pd 2.62, 2 Tl 2.69

***

10.
Material: KTl2Pd2
Method: DFT, SCAN
State: PBEsol geometry

Properties
Magnetization ... 0.0 μB per cell
Energy of formation from the pure elements ... -19 kJ per mole of atoms
Relative energy among the computed polymorphs ... 0 meV per atom

Unit cell a=4.2416 b=4.2416 c=13.2452 alpha=90.00 beta=90.00 gamma=90.00
With the nearest neighbours (Å) after each atom.
Space group I4/mmm (No. 139)
One atom of each set of equivalent atoms:
K 0.0000 0.0000 0.0000 (multiplicity 2)  8 Tl 3.41
Tl 0.0000 0.0000 0.3778 (multiplicity 4)  4 Pd 2.71
Pd 0.0000 0.5000 0.2500 (multiplicity 4)  4 Tl 2.71, 4 Pd 3.00

***

11.
Material: KPd3W
Method: DFT, SCAN
State: PBEsol geometry

Properties
Magnetization ... 0.0 μB per cell
Energy of formation from the pure elements ... 79 kJ per mole of atoms

Unit cell a=4.8603 b=4.8603 c=4.8603 alpha=90.00 beta=90.00 gamma=90.00
With the nearest neighbours (Å) after each atom.
Space group Pm-3m (No. 221)
One atom of each set of equivalent atoms:
K 0.0000 0.0000 0.0000 (multiplicity 1)  12 Pd 3.44
Pd 0.0000 0.5000 0.5000 (multiplicity 3)  2 W 2.43
W 0.5000 0.5000 0.5000 (multiplicity 1)  6 Pd 2.43

***

12.
Material: KZrPd2
Method: DFT, SCAN
State: PBEsol geometry

Properties
Magnetization ... 0.0 μB per cell
Energy of formation from the pure elements ... 4 kJ per mole of atoms

Unit cell a=6.7827 b=6.7827 c=6.7827 alpha=90.00 beta=90.00 gamma=90.00
With the nearest neighbours (Å) after each atom.
Space group Fm-3m (No. 225)
One atom of each set of equivalent atoms:
K 0.0000 0.0000 0.0000 (multiplicity 4)  8 Pd 2.94
Zr 0.0000 0.0000 0.5000 (multiplicity 4)  8 Pd 2.94
Pd 0.2500 0.2500 0.2500 (multiplicity 8)  4 Zr 2.94, 4 K 2.94